Record 1
Entry from Alexandria via LeMat-Bulk: a relaxed structure of ZrTlSn3 (GGA-PBE).

abc: 5.5898 5.5898 5.5898
angles: 90.00 90.00 90.00
Last column: nearest neighbours and their distance in Å.
Positions (direct):
Tl  0.5000  0.5000  0.5000  12 Sn 3.95
Sn  0.0000  0.5000  0.0000  2 Zr 2.79
Sn  0.0000  0.0000  0.5000  2 Zr 2.79
Sn  0.5000  0.0000  0.0000  2 Zr 2.79
Zr  0.0000  0.0000  0.0000  6 Sn 2.79

Output
The energy of formation comes out at 0.80 eV/f.u. The space group is Pm-3m (221). The raw total energy is -4.42 eV/atom.

---

Record 2
Entry from Alexandria via LeMat-Bulk: a relaxed structure of Zr2TlSn2 (GGA-PBE).

abc: 7.7755 7.7755 4.0590
angles: 90.00 90.00 90.00
Last column: nearest neighbours and their distance in Å.
Positions (direct):
Tl  0.0000  0.0000  0.0000  4 Zr 2.99
Tl  0.5000  0.5000  0.0000  4 Zr 2.99
Sn  0.1588  0.6588  0.5000  6 Zr 2.98-3.11
Sn  0.6588  0.8412  0.5000  6 Zr 2.98-3.11
Sn  0.8412  0.3412  0.5000  6 Zr 2.98-3.11
Sn  0.3412  0.1588  0.5000  6 Zr 2.98-3.11
Zr  0.3569  0.8569  0.0000  6 Sn 2.98-3.11, 2 Tl 2.99, 1 Zr 3.15
Zr  0.8569  0.6431  0.0000  6 Sn 2.98-3.11, 2 Tl 2.99, 1 Zr 3.15
Zr  0.6431  0.1431  0.0000  6 Sn 2.98-3.11, 2 Tl 2.99, 1 Zr 3.15
Zr  0.1431  0.3569  0.0000  6 Sn 2.98-3.11, 2 Tl 2.99, 1 Zr 3.15

Output
The energy of formation comes out at -1.14 eV/f.u. The space group is P4/mbm (127). The raw total energy is -5.72 eV/atom.

---

| no. | calculated density (g/cm3) | offset from the most stable computed form (meV per atom) |
| --- | --- | --- |
| 1 | 6.20 | 0 |
| 2 | 8.45 | 0 |